## NaPuSnSe3 (GGA-PBE)

Data for an optimized crystal structure of NaPuSnSe3.

The structure in POSCAR format:
```
NaPuSnSe3
1.0
-2.005 -2.884 -2.189
5.060 -5.869 3.097
-7.604 -0.956 8.223
Se Pu Na Sn
6 2 2 2
direct
0.250 0.116 0.844
0.750 0.361 0.603
0.750 0.884 0.156
0.250 0.639 0.397
0.750 0.393 0.120
0.250 0.607 0.880
0.750 0.368 0.861
0.250 0.632 0.139
0.750 0.857 0.870
0.250 0.143 0.130
0.750 0.855 0.402
0.250 0.145 0.598
```

Properties
Calculated total energy (eV per atom): -6.05
Fermi-level density of states (states/eV/cell): 20.33
ΔE_f (raw) (eV/atom): -1.0292


## Na3Pu2SnSe6 (GGA-PBE)

Data for an optimized crystal structure of Na3Pu2SnSe6.

The structure in POSCAR format:
```
Na3Pu2SnSe6
1.0
-2.834 6.047 -3.063
-1.993 -6.636 -2.442
-3.558 0.077 6.387
Na Se Pu Sn
3 6 2 1
direct
0.500 0.500 0.500
0.838 0.162 0.500
0.162 0.838 0.500
0.730 0.730 0.231
0.270 0.270 0.769
0.077 0.424 0.230
0.923 0.576 0.770
0.424 0.077 0.230
0.576 0.923 0.770
0.667 0.333 0.000
0.333 0.667 0.000
0.000 0.000 0.000
```

Properties
Calculated total energy (eV per atom): -5.98
Fermi-level density of states (states/eV/cell): 21.75
ΔE_f (raw) (eV/atom): -1.1854


## Na2SrPuSe4 (GGA-PBE)

Data for an optimized crystal structure of Na2SrPuSe4.

The structure in POSCAR format:
```
Na2SrPuSe4
1.0
4.297 0.000 0.000
0.000 7.367 -0.119
0.000 2.623 7.007
Pu Se Na Sr
1 4 2 1
direct
0.000 0.500 0.500
0.500 0.729 0.276
0.000 0.736 0.728
0.500 0.271 0.724
0.000 0.264 0.272
0.500 0.000 0.500
0.000 0.000 0.000
0.500 0.500 0.000
```

Properties
Calculated total energy (eV per atom): -5.49
Fermi-level density of states (states/eV/cell): 11.29
ΔE_f (raw) (eV/atom): -1.4190


## NaSr2PuSe4 (GGA-PBE)

Data for an optimized crystal structure of NaSr2PuSe4.

The structure in POSCAR format:
```
NaSr2PuSe4
1.0
4.359 0.000 0.000
0.000 7.494 0.173
0.000 -2.588 6.997
Se Sr Na Pu
4 2 1 1
direct
0.000 0.242 0.761
0.500 0.763 0.768
0.000 0.758 0.239
0.500 0.237 0.232
0.500 0.000 0.500
0.000 0.500 0.500
0.500 0.500 0.000
0.000 0.000 0.000
```

Properties
Calculated total energy (eV per atom): -5.80
Fermi-level density of states (states/eV/cell): 14.27
ΔE_f (raw) (eV/atom): -1.6810


## NaTbPu2Se4 (GGA-PBE)

Data for an optimized crystal structure of NaTbPu2Se4.

The structure in POSCAR format:
```
NaTbPu2Se4
1.0
-1.852 3.623 0.835
-6.300 -3.467 1.068
3.600 0.414 6.189
Pu Se Na Tb
2 4 1 1
direct
0.000 0.500 0.500
0.500 0.000 0.500
0.500 0.752 0.753
0.500 0.248 0.247
0.000 0.757 0.250
0.000 0.243 0.750
0.500 0.500 0.000
0.000 0.000 0.000
```

Properties
Calculated total energy (eV per atom): -7.61
Fermi-level density of states (states/eV/cell): 26.06
ΔE_f (raw) (eV/atom): -1.5391


## Na3TbPu3Se8 (GGA-PBE)

Data for an optimized crystal structure of Na3TbPu3Se8.

The structure in POSCAR format:
```
Na3TbPu3Se8
1.0
-0.573 1.357 -8.228
5.856 -5.160 2.987
-8.133 -2.359 0.177
Na Pu Se Tb
3 3 8 1
direct
0.000 0.500 0.000
0.000 0.000 0.000
0.500 0.500 0.000
0.000 0.500 0.500
0.500 0.500 0.500
0.500 0.000 0.500
0.243 0.983 0.726
0.243 0.485 0.725
0.257 0.514 0.271
0.740 0.983 0.726
0.260 0.017 0.274
0.743 0.486 0.729
0.757 0.017 0.274
0.757 0.515 0.275
0.000 0.000 0.500
```

Properties
Calculated total energy (eV per atom): -6.75
Fermi-level density of states (states/eV/cell): 28.96
ΔE_f (raw) (eV/atom): -1.4518


## NaTb3Pu2Se6 (GGA-PBE)

Data for an optimized crystal structure of NaTb3Pu2Se6.

The structure in POSCAR format:
```
NaTb3Pu2Se6
1.0
4.116 0.000 0.000
0.000 8.296 0.268
-2.058 -2.423 8.708
Tb Na Pu Se
3 1 2 6
direct
0.834 0.169 0.667
0.166 0.831 0.333
0.500 0.500 0.000
0.500 0.000 0.000
0.833 0.667 0.666
0.167 0.333 0.334
0.332 0.921 0.665
0.001 0.746 0.003
0.999 0.254 0.997
0.665 0.584 0.331
0.668 0.079 0.335
0.335 0.416 0.669
```

Properties
Calculated total energy (eV per atom): -7.07
Fermi-level density of states (states/eV/cell): 21.73
ΔE_f (raw) (eV/atom): -1.6731


## Na3Tb2PuSe6 (GGA-PBE)

Data for an optimized crystal structure of Na3Tb2PuSe6.

The structure in POSCAR format:
```
Na3Tb2PuSe6
1.0
7.260 -0.001 0.000
-3.629 6.288 0.000
-1.211 -2.096 6.974
Se Na Pu Tb
6 3 1 2
direct
0.923 0.587 0.769
0.741 0.741 0.231
0.259 0.259 0.769
0.587 0.923 0.769
0.413 0.077 0.231
0.077 0.413 0.231
0.500 0.500 0.500
0.834 0.166 0.500
0.166 0.834 0.500
0.000 0.000 0.000
0.333 0.667 0.000
0.667 0.333 0.000
```

Properties
Calculated total energy (eV per atom): -5.63
Fermi-level density of states (states/eV/cell): 12.74
ΔE_f (raw) (eV/atom): -1.5919


> Look up the ΔE_f (raw) of the second one.

-1.1854 eV/atom


> ΔE_f (raw) of number 5 (NaTbPu2Se4)?

-1.5391 eV/atom


> Which value of Fermi-level density of states does entry 2 give?

21.75 states/eV/cell